The following is a PBE-GGA calculation of a geometry-optimized In2SnHg8 structure, from the Alexandria database.

crystal system = tetragonal
ΔH_f (0 K) = 0.30 eV/f.u.
energy = -1.05 eV per atom
size of the total moment = 0.00 Bohr magnetons per cell

abc: 5.0719 5.0719 11.8136
angles: 90.00 90.00 90.00
Space group P4/mmm (No. 123)
Asymmetric unit:
In 0.0000 0.0000 0.1725 x2
Sn 0.0000 0.0000 0.5000 x1
Hg 0.0000 0.5000 0.0000 x2
Hg 0.0000 0.5000 0.3498 x4
Hg 0.5000 0.5000 0.1804 x2


The following is a PBE-GGA calculation of a geometry-optimized PmPr3Tm4 structure, from the Alexandria database.

crystal system = orthorhombic
ΔH_f (0 K) = 0.20 eV/f.u.
energy = -4.60 eV per atom
size of the total moment = 0.00 Bohr magnetons per cell

abc: 10.1860 7.1799 7.1797
angles: 90.00 90.00 90.00
Space group Pmna (No. 53)
Asymmetric unit:
Pm 0.0000 0.0000 0.0000 x2
Pr 0.0000 0.5000 0.5000 x2
Pr 0.2500 0.2487 0.2500 x4
Tm 0.0000 0.0000 0.5000 x2
Tm 0.0000 0.5000 0.0000 x2
Tm 0.2500 0.2498 0.7500 x4


The following is a PBE-GGA calculation of a geometry-optimized PaFe3C2 structure, from the Alexandria database.

crystal system = monoclinic
ΔH_f (0 K) = -0.45 eV/f.u.
energy = -8.96 eV per atom
size of the total moment = 6.47 Bohr magnetons per cell

abc: 11.7594 3.3651 7.4335
angles: 90.00 114.75 90.00
Space group C2/m (No. 12)
Asymmetric unit:
Pa 0.1328 0.0000 0.0383 x4
Fe 0.0620 0.0000 0.3874 x4
Fe 0.1086 0.5000 0.6668 x4
Fe 0.2116 0.5000 0.3830 x4
C 0.0267 0.5000 0.2355 x4
C 0.1980 0.0000 0.7707 x4


The following is a PBE-GGA calculation of a geometry-optimized Na2GaF4 structure, from the Alexandria database.

crystal system = tetragonal
energy relative to the elements, uncorrected = -16.5 eV/f.u.
energy = -4.23 eV per atom
size of the total moment = 0.00 Bohr magnetons per cell

abc: 5.8355 5.8355 7.5108
angles: 90.00 90.00 90.00
Space group I-42m (No. 121)
Asymmetric unit:
Na 0.0000 0.5000 0.2500 x4
Ga 0.0000 0.0000 0.0000 x2
F 0.2054 0.2054 0.1317 x8


The following is a PBE-GGA calculation of a geometry-optimized MgZr2Au structure, from the Alexandria database.

crystal system = cubic
ΔH_f (0 K) = -0.15 eV/f.u.
energy = -5.53 eV per atom
size of the total moment = 12.00 Bohr magnetons per cell

abc: 6.9390 6.9390 6.9390
angles: 90.00 90.00 90.00
Space group F-43m (No. 216)
Asymmetric unit:
Mg 0.0000 0.0000 0.0000 x4
Zr 0.0000 0.0000 0.5000 x4
Zr 0.2500 0.2500 0.2500 x4
Au 0.2500 0.2500 0.7500 x4


The following is a PBE-GGA calculation of a geometry-optimized TcHg4Os structure, from the Alexandria database.

crystal system = cubic
ΔH_f (0 K) = 7.53 eV/f.u.
energy = -2.55 eV per atom
size of the total moment = 15.73 Bohr magnetons per cell

abc: 7.8531 7.8531 7.8531
angles: 90.00 90.00 90.00
Space group F-43m (No. 216)
Asymmetric unit:
Tc 0.0000 0.0000 0.0000 x4
Hg 0.1249 0.1249 0.6249 x16
Os 0.2500 0.2500 0.2500 x4


The following is a PBE-GGA calculation of a geometry-optimized Ba2Mg4InHg3 structure, from the Alexandria database.

crystal system = tetragonal
ΔH_f (0 K) = -3.18 eV/f.u.
energy = -1.70 eV per atom
size of the total moment = 0.00 Bohr magnetons per cell

abc: 4.9331 4.9331 12.0218
angles: 90.00 90.00 90.00
Space group P-4m2 (No. 115)
Asymmetric unit:
Ba 0.0000 0.5000 0.2452 x2
Mg 0.0000 0.0000 0.5000 x1
Mg 0.0000 0.5000 0.8709 x2
Mg 0.5000 0.5000 0.5000 x1
In 0.5000 0.5000 0.0000 x1
Hg 0.0000 0.0000 0.0000 x1
Hg 0.0000 0.5000 0.6330 x2


The following is a PBE-GGA calculation of a geometry-optimized SmHfPd6 structure, from the Alexandria database.

crystal system = tetragonal
ΔH_f (0 K) = -6.89 eV/f.u.
energy = -6.59 eV per atom
size of the total moment = 0.00 Bohr magnetons per cell

abc: 4.0884 4.0884 8.1847
angles: 90.00 90.00 90.00
Space group P4/mmm (No. 123)
Asymmetric unit:
Sm 0.0000 0.0000 0.0000 x1
Hf 0.0000 0.0000 0.5000 x1
Pd 0.0000 0.5000 0.2640 x4
Pd 0.5000 0.5000 0.0000 x1
Pd 0.5000 0.5000 0.5000 x1


Which value of size of the total moment does entry 8 give? 0.00 Bohr magnetons per cell


Among the records above, which one has the lowest energy? PaFe3C2


size of the total moment of number 1 (In2SnHg8)? 0.00 Bohr magnetons per cell